[1]
Density functional theory data (GGA-PBE) for a relaxed structure of Cd2InAs.

```
Cd2InAs
1.0
3.032 0.000 0.000
0.000 3.780 0.000
0.000 0.000 8.216
Cd In As
2 1 1
direct
0.000 0.000 0.000
0.500 0.500 0.254
0.000 0.000 0.541
0.500 0.500 0.777
```

Properties
symmetry: Pmm2 (25)
offset from the most stable computed form: 0.025 eV per atom
D(E_F): 0.39 states/eV/atom
energy relative to the elements: 0.098 eV per atom
total DFT energy (no corrections): -2.21 eV per atom
total magnetization: 0.00 μB/atom

***

[2]
Density functional theory data (GGA-PBE) for a relaxed structure of Cd2InAs.

```
Cd2InAs
1.0
5.210 -1.588 0.000
5.210 1.588 0.000
-1.296 0.000 5.598
Cd In As
2 1 1
direct
0.000 0.000 0.000
0.748 0.748 0.211
0.241 0.241 0.713
0.481 0.481 0.485
```

Properties
symmetry: Cm (8)
offset from the most stable computed form: 0.042 eV per atom
D(E_F): 0.40 states/eV/atom
energy relative to the elements: 0.115 eV per atom
total DFT energy (no corrections): -2.19 eV per atom
total magnetization: 0.00 μB/atom

***

[3]
Density functional theory data (GGA-PBE) for a relaxed structure of Cd2InAs.

```
Cd2InAs
1.0
2.960 0.000 0.000
0.000 5.775 0.000
-0.134 0.000 5.611
Cd In As
2 1 1
direct
0.000 0.000 0.000
0.500 0.500 0.002
0.499 0.000 0.500
0.500 0.500 0.502
```

Properties
symmetry: Pm (6)
offset from the most stable computed form: 0.005 eV per atom
D(E_F): 0.64 states/eV/atom
energy relative to the elements: 0.077 eV per atom
total DFT energy (no corrections): -2.23 eV per atom
total magnetization: 0.00 μB/atom